[1]
Entry from Alexandria: a relaxed MnSbI2F crystal (PBEsol).

The structure in CIF format:
```
data_MnSbI2F
_symmetry_space_group_name_H-M 'P 4/m m m'
_symmetry_Int_Tables_number 123
_symmetry_space_group_name_Hall '-P 4 2'
_cell_length_a 5.151
_cell_length_b 5.151
_cell_length_c 5.033
_cell_angle_alpha 90.00
_cell_angle_beta 90.00
_cell_angle_gamma 90.00
loop_
_atom_site_label
_atom_site_type_symbol
_atom_site_fract_x
_atom_site_fract_y
_atom_site_fract_z
Mn1 Mn 0.000 0.000 0.000
Sb1 Sb 0.000 0.000 0.500
I1 I 0.000 0.500 0.000
F1 F 0.500 0.500 0.500
```

Output
- ΔE to the lowest computed polymorph: 0.0 meV/atom
- Theoretical density: 5.6 g/cm³
- Formation energy from raw total energies: 3 kJ per mole of atoms
- Calculated total energy: -19.64 eV for the cell shown
- Fermi-level density of states: 3.6 states/eV/f.u.

=====

[2]
Entry from Alexandria: a relaxed RbHfPS2 crystal (PBEsol).

The structure in CIF format:
```
data_RbHfPS2
_symmetry_space_group_name_H-M 'P 4/m m m'
_symmetry_Int_Tables_number 123
_symmetry_space_group_name_Hall '-P 4 2'
_cell_length_a 4.967
_cell_length_b 4.967
_cell_length_c 5.030
_cell_angle_alpha 90.00
_cell_angle_beta 90.00
_cell_angle_gamma 90.00
loop_
_atom_site_label
_atom_site_type_symbol
_atom_site_fract_x
_atom_site_fract_y
_atom_site_fract_z
Rb1 Rb 0.000 0.000 0.000
Hf1 Hf 0.500 0.500 0.500
P1 P 0.500 0.500 0.000
S1 S 0.000 0.500 0.500
```

Output
- Theoretical density: 4.8 g/cm³
- Formation energy from raw total energies: -78 kJ per mole of atoms
- Calculated total energy: -30.12 eV for the cell shown
- Fermi-level density of states: 4.4 states/eV/f.u.

=====

[3]
Entry from Alexandria: a relaxed Be2FeBr crystal (PBEsol).

The structure in CIF format:
```
data_Be2FeBr
_symmetry_space_group_name_H-M 'C m m m'
_symmetry_Int_Tables_number 65
_symmetry_space_group_name_Hall '-C 2 2'
_cell_length_a 4.815
_cell_length_b 6.912
_cell_length_c 2.870
_cell_angle_alpha 90.00
_cell_angle_beta 90.00
_cell_angle_gamma 90.00
loop_
_atom_site_label
_atom_site_type_symbol
_atom_site_fract_x
_atom_site_fract_y
_atom_site_fract_z
Be1 Be 0.250 0.250 0.000
Fe1 Fe 0.000 0.000 0.500
Br1 Br 0.000 0.500 0.500
```

Output
- ΔE to the lowest computed polymorph: 320.6 meV/atom
- Theoretical density: 5.3 g/cm³
- Formation energy from raw total energies: 63 kJ per mole of atoms
- Calculated total energy: -32.40 eV for the cell shown
- Fermi-level density of states: 2.9 states/eV/f.u.

=====

[4]
Entry from Alexandria: a relaxed Sr3Hg crystal (PBEsol).

The structure in CIF format:
```
data_Sr3Hg
_symmetry_space_group_name_H-M 'R -3 m'
_symmetry_Int_Tables_number 166
_symmetry_space_group_name_Hall '-R 3 2"'
_cell_length_a 11.8213
_cell_length_b 11.8213
_cell_length_c 3.9356
_cell_angle_alpha 90.00
_cell_angle_beta 90.00
_cell_angle_gamma 120.00
loop_
_atom_site_label
_atom_site_type_symbol
_atom_site_fract_x
_atom_site_fract_y
_atom_site_fract_z
Sr1 Sr 0.0000 0.5000 0.0000
Hg1 Hg 0.0000 0.0000 0.0000
```

Output
- Energy of formation from the pure elements: -0.05 eV/atom
- ΔE to the lowest computed polymorph: 246.2 meV/atom
- Theoretical density: 4.8 g/cm³
- Calculated total energy: -18.91 eV for the cell shown
- Fermi-level density of states: 2.4 states/eV/f.u.

=====

[5]
Entry from Alexandria: a relaxed ScRe2As crystal (PBEsol).

The structure in CIF format:
```
data_ScRe2As
_symmetry_space_group_name_H-M 'F -4 3 m'
_symmetry_Int_Tables_number 216
_symmetry_space_group_name_Hall 'F -4 2 3'
_cell_length_a 6.304
_cell_length_b 6.304
_cell_length_c 6.304
_cell_angle_alpha 90.00
_cell_angle_beta 90.00
_cell_angle_gamma 90.00
loop_
_atom_site_label
_atom_site_type_symbol
_atom_site_fract_x
_atom_site_fract_y
_atom_site_fract_z
Sc1 Sc 0.000 0.000 0.000
Re1 Re 0.000 0.000 0.500
Re2 Re 0.250 0.250 0.750
As1 As 0.250 0.250 0.250
```

Output
- Energy of formation from the pure elements: 0.16 eV/atom
- Theoretical density: 13.1 g/cm³
- Calculated total energy: -150.92 eV for the cell shown
- Fermi-level density of states: 4.2 states/eV/f.u.

=====

[6]
Entry from Alexandria: a relaxed Cs2AlTlBr6 crystal (PBEsol).

The structure in CIF format:
```
data_Cs2AlTlBr6
_symmetry_space_group_name_H-M 'F m -3 m'
_symmetry_Int_Tables_number 225
_symmetry_space_group_name_Hall '-F 4 2 3'
_cell_length_a 11.183
_cell_length_b 11.183
_cell_length_c 11.183
_cell_angle_alpha 90.00
_cell_angle_beta 90.00
_cell_angle_gamma 90.00
loop_
_atom_site_label
_atom_site_type_symbol
_atom_site_fract_x
_atom_site_fract_y
_atom_site_fract_z
Cs1 Cs 0.250 0.250 0.250
Al1 Al 0.000 0.000 0.000
Tl1 Tl 0.000 0.000 0.500
Br1 Br 0.000 0.000 0.224
```

Output
- Theoretical density: 4.6 g/cm³
- Formation energy from raw total energies: -129 kJ per mole of atoms
- Calculated total energy: -132.62 eV for the cell shown
- Fermi-level density of states: 0.0 states/eV/f.u.

=====

[7]
Entry from Alexandria: a relaxed TlZnRu2 crystal (PBEsol).

The structure in CIF format:
```
data_TlZnRu2
_symmetry_space_group_name_H-M 'R 3 m'
_symmetry_Int_Tables_number 160
_symmetry_space_group_name_Hall 'R 3 -2"'
_cell_length_a 2.8570
_cell_length_b 2.8570
_cell_length_c 27.2134
_cell_angle_alpha 90.00
_cell_angle_beta 90.00
_cell_angle_gamma 120.00
loop_
_atom_site_label
_atom_site_type_symbol
_atom_site_fract_x
_atom_site_fract_y
_atom_site_fract_z
Tl1 Tl 0.0000 0.0000 0.0000
Zn1 Zn 0.0000 0.0000 0.7619
Ru1 Ru 0.0000 0.0000 0.2430
Ru2 Ru 0.0000 0.0000 0.5046
```

Output
- Energy of formation from the pure elements: 0.40 eV/atom
- ΔE to the lowest computed polymorph: 145.9 meV/atom
- Theoretical density: 12.2 g/cm³
- Calculated total energy: -68.88 eV for the cell shown
- Fermi-level density of states: 3.0 states/eV/f.u.

=====

[8]
Entry from Alexandria: a relaxed ZrMnRe crystal (PBEsol).

The structure in CIF format:
```
data_ZrMnRe
_symmetry_space_group_name_H-M 'F -4 3 m'
_symmetry_Int_Tables_number 216
_symmetry_space_group_name_Hall 'F -4 2 3'
_cell_length_a 6.099
_cell_length_b 6.099
_cell_length_c 6.099
_cell_angle_alpha 90.00
_cell_angle_beta 90.00
_cell_angle_gamma 90.00
loop_
_atom_site_label
_atom_site_type_symbol
_atom_site_fract_x
_atom_site_fract_y
_atom_site_fract_z
Zr1 Zr 0.000 0.000 0.000
Mn1 Mn 0.250 0.250 0.250
Re1 Re 0.250 0.250 0.750
```

Output
- Energy of formation from the pure elements: 1.27 eV/atom
- Theoretical density: 9.7 g/cm³
- Calculated total energy: -113.52 eV for the cell shown
- Fermi-level density of states: 3.7 states/eV/f.u.